1.
A plane-wave DFT calculation with PBE was carried out for a geometry-optimized AcAgAs structure.

Unit cell a=5.1502 b=5.1502 c=5.1502 alpha=60.00 beta=60.00 gamma=60.00
Fractional positions:
Ac: 0.0000 0.0000 0.0000
Ag: 0.7500 0.7500 0.7500
As: 0.2500 0.2500 0.2500

Values from the calculation:
The relative energy among the computed polymorphs comes out at 130 meV per atom. For the uncorrected energy, the calculation gives -4.23 eV/atom. The size of the total moment is 0.0 Bohr magnetons per cell.

***

2.
A plane-wave DFT calculation with PBE was carried out for a geometry-optimized Zr3Zn2GaNiIr2 structure.

Unit cell a=3.4577 b=7.1413 c=7.1413 alpha=120.20 beta=90.00 gamma=90.00
Fractional positions:
Zr: 0.0000 0.0000 0.0000
Zr: 0.0000 0.1961 0.6001
Zr: 0.0000 0.6001 0.1961
Zn: 0.5000 0.5983 0.8499
Zn: 0.5000 0.8499 0.5983
Ga: 0.5000 0.3497 0.3497
Ni: 0.0000 0.5945 0.5945
Ir: 0.5000 0.2653 0.9338
Ir: 0.5000 0.9338 0.2653

Values from the calculation:
For the uncorrected energy, the calculation gives -6.71 eV/atom. The size of the total moment is 0.0 Bohr magnetons per cell.

***

3.
A plane-wave DFT calculation with PBE was carried out for a geometry-optimized Nb2CoGe structure.

Unit cell a=4.4423 b=4.4423 c=4.4423 alpha=60.00 beta=60.00 gamma=60.00
Fractional positions:
Nb: 0.0000 0.0000 0.0000
Nb: 0.2500 0.2500 0.2500
Co: 0.7500 0.7500 0.7500
Ge: 0.5000 0.5000 0.5000

Values from the calculation:
For the uncorrected energy, the calculation gives -7.86 eV/atom. The size of the total moment is 1.1 Bohr magnetons per cell.